(1)
VASP calculation (GGA-PBE) on a geometry-optimized Ba2Mg3InPb4 structure.

Cell: 5.108 5.108 12.267 Å, 90.00 90.00 90.00°
Positions (direct):
Ba1 0.000 0.500 0.248
Ba2 0.500 0.000 0.752
Mg1 0.000 0.500 0.873
Mg2 0.500 0.000 0.127
Mg3 0.500 0.500 0.500
In1 0.000 0.000 0.500
Pb1 0.000 0.000 0.000
Pb2 0.000 0.500 0.638
Pb3 0.500 0.000 0.362
Pb4 0.500 0.500 0.000

The calculation puts the formation energy at -0.339 eV/atom. Its total energy is -2.959 eV per atom.

---

(2)
VASP calculation (GGA-PBE) on a geometry-optimized BaMgIn2Pb structure.

Cell: 7.415 7.415 4.907 Å, 109.14 109.14 38.66°
Positions (direct):
Ba1 0.000 0.000 0.000
Mg1 0.747 0.747 0.246
In1 0.242 0.242 0.743
In2 0.616 0.616 0.617
Pb1 0.386 0.386 0.386

The calculation puts the formation energy at -0.326 eV/atom. Its total energy is -2.866 eV per atom.

---

(3)
VASP calculation (GGA-PBE) on a geometry-optimized Ba2MgIn12Pd3 structure.

Cell: 8.798 8.798 8.798 Å, 68.96 68.96 68.96°
Positions (direct):
Ba1 0.097 0.097 0.097
Ba2 0.903 0.903 0.903
Mg1 0.500 0.500 0.500
In1 0.125 0.638 0.638
In2 0.230 0.230 0.619
In3 0.230 0.619 0.230
In4 0.362 0.362 0.875
In5 0.362 0.875 0.362
In6 0.381 0.770 0.770
In7 0.619 0.230 0.230
In8 0.638 0.125 0.638
In9 0.638 0.638 0.125
In10 0.770 0.381 0.770
In11 0.770 0.770 0.381
In12 0.875 0.362 0.362
Pd1 0.000 0.500 0.500
Pd2 0.500 0.000 0.500
Pd3 0.500 0.500 0.000

The calculation puts the formation energy at -0.123 eV/atom. Its total energy is -3.117 eV per atom.

---

(4)
VASP calculation (GGA-PBE) on a geometry-optimized Ba2MgInPd6 structure.

Cell: 5.697 7.070 7.094 Å, 82.65 66.35 66.28°
Positions (direct):
Ba1 0.044 0.205 0.207
Ba2 0.956 0.795 0.793
Mg1 0.500 0.000 0.500
In1 0.500 0.500 0.000
Pd1 0.005 0.262 0.736
Pd2 0.335 0.416 0.418
Pd3 0.498 0.261 0.737
Pd4 0.502 0.739 0.263
Pd5 0.665 0.584 0.582
Pd6 0.995 0.738 0.264

The calculation puts the formation energy at -0.496 eV/atom. Its total energy is -4.430 eV per atom.

---

(5)
VASP calculation (GGA-PBE) on a geometry-optimized BaMg2InPd structure.

Cell: 5.164 5.164 5.267 Å, 90.00 90.00 90.00°
Positions (direct):
Ba1 0.000 0.000 0.000
Mg1 0.000 0.500 0.500
Mg2 0.500 0.000 0.500
In1 0.500 0.500 0.000
Pd1 0.500 0.500 0.500

The calculation puts the formation energy at -0.387 eV/atom. Its total energy is -2.996 eV per atom.

---

(6)
VASP calculation (GGA-PBE) on a geometry-optimized BaMg4In2Pd structure.

Cell: 10.433 10.433 10.433 Å, 27.09 27.09 27.09°
Positions (direct):
Ba1 0.000 0.000 0.000
Mg1 0.141 0.141 0.141
Mg2 0.414 0.414 0.414
Mg3 0.586 0.586 0.586
Mg4 0.859 0.859 0.859
In1 0.246 0.246 0.246
In2 0.754 0.754 0.754
Pd1 0.500 0.500 0.500

The calculation puts the formation energy at -0.291 eV/atom. Its total energy is -2.662 eV per atom.

---

no.,DOS at the Fermi energy (states/eV per atom)
1,0.381
2,0.556
3,0.568
4,0.427
5,0.828
6,0.461